A plane-wave DFT calculation with PBE was carried out for Mg3AgSe after structural relaxation.

Values from the calculation:
Total moment (μB/f.u.): 0.00
Calculated volume (Å³/atom): 26.18
Total DFT energy (no corrections) (hartree per atom): -0.080
Mass density (kg/m3): 3295

a b c (Å): 5.0774 5.0774 5.0774
angles (deg): 90.00 90.00 90.00
Space group Pm-3m (No. 221)
One atom of each set of equivalent atoms:
Mg 0.0000 0.0000 0.5000
Ag 0.0000 0.0000 0.0000
Se 0.5000 0.5000 0.5000